(1)
LiTl2Ir, optimized geometry, DFT GGA-PBE; SG = No. 10; V = 19.39 Å³ per atom; E_tot = -3.74 eV per atom; total magnetization = 0.0000 μB/atom
1.0
-1.4710 -3.3257 1.1032
1.7805 -1.5058 -2.1650
6.4908 -2.1622 2.1370
Ir Li Tl
1 1 2
direct
0.5000 0.2500 0.2500
0.5000 0.7500 0.7500
0.0000 0.9961 0.0062
0.0000 0.5039 0.4938


(2)
CsTl12Sb5, optimized geometry, DFT GGA-PBE; formation energy without anion corrections = -1 meV/atom; SG = No. 71; V = 35.38 Å³ per atom; E_tot = -2.77 eV per atom; total magnetization = 0.0000 μB/atom
1.0
8.6812 -0.9697 -3.8963
-4.8129 8.0855 -1.7165
-0.5511 0.9697 9.4996
Cs Tl Sb
1 12 5
direct
0.0000 0.5000 0.5000
0.5290 0.8218 0.7072
0.4710 0.1782 0.2928
0.8854 0.1782 0.7072
0.1146 0.8218 0.2928
0.7031 0.6755 0.3787
0.2969 0.3245 0.6213
0.2969 0.6755 0.9724
0.7031 0.3245 0.0276
0.8090 0.5841 0.7751
0.1910 0.4159 0.2249
0.1910 0.9661 0.7751
0.8090 0.0339 0.2249
0.6582 0.6582 0.0000
0.3418 0.3418 0.0000
0.5000 0.1493 0.6493
0.5000 0.8507 0.3507
0.0000 0.0000 0.0000


(3)
K2InI6, optimized geometry, DFT GGA-PBE; formation energy without anion corrections = -750 meV/atom; SG = No. 136; V = 51.52 Å³ per atom; E_tot = -2.33 eV per atom; total magnetization = 0.0571 μB/atom
1.0
-3.8698 -5.4294 4.1357
3.4454 -5.6580 -4.2040
11.3121 -0.4942 9.9362
K In I
4 2 12
direct
0.5000 0.5000 0.3321
0.5000 0.5000 0.6679
0.0000 0.0000 0.1679
0.0000 0.0000 0.8321
0.5000 0.5000 0.0000
0.0000 0.0000 0.5000
0.6841 0.6841 0.1399
0.6841 0.6841 0.8601
0.7343 0.7343 0.5000
0.7657 0.2343 0.0000
0.8159 0.1841 0.3601
0.8159 0.1841 0.6399
0.1841 0.8159 0.3601
0.1841 0.8159 0.6399
0.2343 0.7657 0.0000
0.2657 0.2657 0.5000
0.3159 0.3159 0.1399
0.3159 0.3159 0.8601


(4)
Mg2CdPd7, optimized geometry, DFT GGA-PBE; SG = No. 65; V = 20.45 Å³ per atom; E_tot = -3.96 eV per atom; total magnetization = 0.0000 μB/atom
1.0
4.0531 0.0000 0.0000
0.0000 7.8109 -0.5324
0.0000 -3.9991 6.7307
Mg Cd Pd
2 1 7
direct
0.5000 0.6950 0.3050
0.5000 0.3050 0.6950
0.0000 0.0000 0.0000
0.0000 0.8065 0.1935
0.0000 0.1935 0.8065
0.5000 0.0846 0.2926
0.5000 0.9154 0.7074
0.5000 0.2926 0.0846
0.5000 0.7074 0.9154
0.5000 0.5000 0.5000


(5)
ScZn2SnC, optimized geometry, DFT GGA-PBE; SG = No. 123; V = 16.48 Å³ per atom; E_tot = -4.38 eV per atom; total magnetization = 0.0000 μB/atom
1.0
4.2568 0.0000 0.0000
0.0000 4.5474 0.0000
0.0000 0.0000 4.2568
Sc C Zn Sn
1 1 2 1
direct
0.0000 0.5000 0.0000
0.0000 0.0000 0.0000
0.0000 0.0000 0.5000
0.5000 0.0000 0.0000
0.5000 0.5000 0.5000


(6)
BaWSe2, optimized geometry, DFT GGA-PBE; relative energy among the computed polymorphs = 410 meV/atom; formation energy without anion corrections = -99 meV/atom; SG = No. 99; V = 27.11 Å³ per atom; E_tot = -5.56 eV per atom; total magnetization = 0.4728 μB/atom
1.0
3.6467 0.0000 0.0000
0.0000 3.6467 0.0000
0.0000 0.0000 8.1560
Ba Se W
1 2 1
direct
0.5000 0.5000 0.7869
0.0000 0.0000 0.0058
0.5000 0.5000 0.3998
0.0000 0.0000 0.3075


(7)
YPIrCl2, optimized geometry, DFT GGA-PBE; relative energy among the computed polymorphs = 503 meV/atom; formation energy without anion corrections = 267 meV/atom; SG = No. 123; V = 29.28 Å³ per atom; E_tot = -4.62 eV per atom; total magnetization = 0.3786 μB/atom
1.0
-1.1106 -2.2976 4.3125
4.8858 -0.5941 0.9417
0.0925 5.1353 2.7598
Y P Ir Cl
1 1 1 2
direct
0.0000 0.0000 0.0000
0.0000 0.0000 0.5000
0.5000 0.5000 0.5000
0.0000 0.5000 0.0000
0.5000 0.0000 0.0000


(8)
MnSb2Rh, optimized geometry, DFT GGA-PBE; relative energy among the computed polymorphs = 80 meV/atom; formation energy without anion corrections = -59 meV/atom; SG = No. 44; V = 20.13 Å³ per atom; E_tot = -6.25 eV per atom; total magnetization = 0.9194 μB/atom
1.0
6.6936 0.1824 0.3130
4.5867 4.8784 -0.3130
-5.5052 -2.8313 2.5714
Mn Rh Sb
1 1 2
direct
0.4388 0.4388 0.0000
0.2281 0.7281 0.5000
0.0445 0.0445 0.0000
0.7886 0.2886 0.5000


(9)
Mg5Co, optimized geometry, DFT GGA-PBE; relative energy among the computed polymorphs = 338 meV/atom; SG = No. 216; V = 20.64 Å³ per atom; E_tot = -2.12 eV per atom; total magnetization = 0.1998 μB/atom
1.0
3.1796 3.6064 2.8615
-2.3486 3.4657 3.7118
0.8616 -0.7639 5.4753
Mg Co
5 1
direct
0.2500 0.2500 0.2500
0.6257 0.6257 0.6257
0.6257 0.6257 0.1229
0.1229 0.6257 0.6257
0.6257 0.1229 0.6257
0.0000 0.0000 0.0000


(10)
Ac2TbTl5, optimized geometry, DFT GGA-PBE; SG = No. 139; V = 31.56 Å³ per atom; E_tot = -3.33 eV per atom; total magnetization = 0.0004 μB/atom
1.0
-4.0874 -3.9528 -0.2889
2.3977 -2.7967 4.3410
-3.4729 7.4722 2.9987
Ac Tb Tl
2 1 5
direct
0.7422 0.7422 0.4845
0.2578 0.2578 0.5155
0.0000 0.0000 0.0000
0.5000 0.5000 0.0000
0.8893 0.3893 0.7786
0.3893 0.8893 0.7786
0.1107 0.6107 0.2214
0.6107 0.1107 0.2214


(11)
Tb5NdSm6, optimized geometry, DFT GGA-PBE; relative energy among the computed polymorphs = 3 meV/atom; SG = No. 71; V = 33.07 Å³ per atom; E_tot = -4.67 eV per atom; total magnetization = 0.0000 μB/atom
1.0
4.8909 0.0194 -1.4266
-1.3962 8.9577 -4.6654
0.1187 -0.8398 9.4932
Nd Tb Sm
1 5 6
direct
0.0000 0.0000 0.0000
0.6673 0.1673 0.3346
0.3331 0.3331 0.6663
0.0000 0.5000 0.0000
0.6669 0.6669 0.3337
0.3327 0.8327 0.6654
0.8331 0.5821 0.6662
0.8331 0.0841 0.6662
0.5000 0.7482 0.0000
0.5000 0.2518 0.0000
0.1669 0.9159 0.3338
0.1669 0.4179 0.3338


(12)
LiPtCl5, optimized geometry, DFT GGA-PBE; formation energy without anion corrections = -711 meV/atom; SG = No. 15; V = 25.62 Å³ per atom; E_tot = -3.17 eV per atom; total magnetization = 0.0315 μB/atom
1.0
-4.3065 -4.5583 -1.8466
4.9358 -3.2429 -2.8028
1.0575 -0.7317 9.2153
Li Pt Cl
2 2 10
direct
0.9444 0.5556 0.2500
0.0556 0.4444 0.7500
0.0000 0.0000 0.0000
0.5000 0.5000 0.5000
0.8261 0.8630 0.1424
0.7587 0.2628 0.4893
0.3630 0.3261 0.6424
0.2188 0.2812 0.2500
0.2372 0.7413 0.0107
0.7628 0.2587 0.9893
0.7812 0.7188 0.7500
0.6370 0.6739 0.3576
0.2413 0.7372 0.5107
0.1739 0.1370 0.8576


(13)
HfFeSe3, optimized geometry, DFT GGA-PBE; relative energy among the computed polymorphs = 0 meV/atom; formation energy without anion corrections = 68 meV/atom; SG = No. 221; V = 27.28 Å³ per atom; E_tot = -5.71 eV per atom; total magnetization = 0.7824 μB/atom
1.0
5.1479 0.0000 0.0000
0.0000 5.1479 0.0000
0.0000 0.0000 5.1479
Hf Fe Se
1 1 3
direct
0.0000 0.0000 0.0000
0.5000 0.5000 0.5000
0.0000 0.5000 0.0000
0.0000 0.0000 0.5000
0.5000 0.0000 0.0000


(14)
BeRe4Au, optimized geometry, DFT GGA-PBE; SG = No. 216; V = 16.34 Å³ per atom; E_tot = -8.67 eV per atom; total magnetization = 0.0000 μB/atom
1.0
0.0000 3.6595 3.6595
3.6595 0.0000 3.6595
3.6595 3.6595 0.0000
Be Re Au
1 4 1
direct
0.0000 0.0000 0.0000
0.6248 0.6248 0.1257
0.6248 0.1257 0.6248
0.6248 0.6248 0.6248
0.1257 0.6248 0.6248
0.2500 0.2500 0.2500


(15)
SrCa2, optimized geometry, DFT GGA-PBE; relative energy among the computed polymorphs = 15 meV/atom; SG = No. 227; V = 48.00 Å³ per atom; E_tot = -1.87 eV per atom; total magnetization = 0.0000 μB/atom
1.0
-0.7712 6.0079 -4.2725
-4.3405 5.5873 2.2103
3.0215 6.4407 2.0814
Ca Sr
4 2
direct
0.5000 0.5000 0.5000
0.0000 0.5000 0.0000
0.5000 0.0000 0.0000
0.5000 0.5000 0.0000
0.8750 0.8750 0.3750
0.1250 0.1250 0.6250


(16)
Tb2Sm2YHo4, optimized geometry, DFT GGA-PBE; SG = No. 12; V = 32.02 Å³ per atom; E_tot = -4.83 eV per atom; total magnetization = 0.0000 μB/atom
1.0
3.5922 0.0000 0.0000
-1.7961 9.3139 -0.5009
0.0000 -3.6791 8.8121
Tb Sm Y Ho
2 2 1 4
direct
0.8525 0.7050 0.3360
0.1475 0.2950 0.6640
0.3338 0.6675 0.0001
0.6662 0.3325 0.9999
0.0000 0.0000 0.0000
0.8146 0.6292 0.6644
0.1854 0.3708 0.3356
0.5192 0.0384 0.3352
0.4808 0.9616 0.6648


(17)
La3DyTm2, optimized geometry, DFT GGA-PBE; relative energy among the computed polymorphs = 0 meV/atom; SG = No. 12; V = 34.22 Å³ per atom; E_tot = -4.64 eV per atom; total magnetization = 0.0000 μB/atom
1.0
-9.4825 -0.3878 -4.3088
-7.4566 -1.3202 -7.1617
-9.5787 -11.5130 -3.0391
La Dy Tm
6 2 4
direct
0.9619 0.9619 0.1497
0.0381 0.0381 0.8503
0.3281 0.3281 0.1015
0.6719 0.6719 0.8985
0.2499 0.2499 0.3963
0.7501 0.7501 0.6037
0.6184 0.6184 0.3545
0.3816 0.3816 0.6455
0.1485 0.1485 0.1263
0.8515 0.8515 0.8737
0.4499 0.4499 0.3577
0.5501 0.5501 0.6423


(18)
Pm2NdPd2, optimized geometry, DFT GGA-PBE; relative energy among the computed polymorphs = 0 meV/atom; SG = No. 127; V = 25.91 Å³ per atom; E_tot = -5.57 eV per atom; total magnetization = 0.0000 μB/atom
1.0
3.9768 0.0000 0.0000
0.0000 8.0715 0.0000
0.0000 0.0000 8.0715
Pm Nd Pd
4 2 4
direct
0.0000 0.6670 0.3330
0.0000 0.8330 0.8330
0.0000 0.1670 0.1670
0.0000 0.3330 0.6670
0.5000 0.5000 0.0000
0.5000 0.0000 0.5000
0.5000 0.3735 0.3735
0.5000 0.8735 0.1265
0.5000 0.1265 0.8735
0.5000 0.6265 0.6265


(19)
CdAgAu2, optimized geometry, DFT GGA-PBE; SG = No. 25; V = 18.59 Å³ per atom; E_tot = -2.69 eV per atom; total magnetization = 0.0000 μB/atom
1.0
4.8410 0.0000 0.0000
0.0000 3.0086 -0.0034
0.0000 0.0058 5.1056
Au Ag Cd
2 1 1
direct
0.0000 0.1250 0.9489
0.5000 0.1250 0.2985
0.5000 0.6250 0.8020
0.0000 0.6250 0.4507


(20)
ZrGeI2, optimized geometry, DFT GGA-PBE; relative energy among the computed polymorphs = 176 meV/atom; formation energy without anion corrections = 304 meV/atom; SG = No. 122; V = 29.35 Å³ per atom; E_tot = -3.76 eV per atom; total magnetization = 0.1994 μB/atom
1.0
-2.8456 7.6219 -0.4938
-3.3212 -0.7602 7.4045
-0.1010 4.6390 4.9171
I Ge Zr
4 2 2
direct
0.6401 0.1250 0.2500
0.1099 0.6250 0.2500
0.3750 0.3599 0.7500
0.8750 0.8901 0.7500
0.5000 0.5000 0.0000
0.2500 0.7500 0.5000
0.0000 0.0000 0.0000
0.7500 0.2500 0.5000


(21)
CuTe4Pd2, optimized geometry, DFT GGA-PBE; relative energy among the computed polymorphs = 9 meV/atom; formation energy without anion corrections = -234 meV/atom; SG = No. 12; V = 25.57 Å³ per atom; E_tot = -4.10 eV per atom; total magnetization = 0.0000 μB/atom
1.0
7.9563 0.0000 0.0000
-3.9781 6.5283 -2.2658
0.0000 -0.0738 13.8100
Te Pd Cu
16 8 4
direct
0.3628 0.7585 0.1206
0.8627 0.7585 0.6206
0.1373 0.2415 0.3794
0.6372 0.2415 0.8794
0.1375 0.7749 0.3791
0.6374 0.7749 0.8791
0.6289 0.7577 0.3873
0.1289 0.7577 0.8873
0.8959 0.7585 0.1206
0.3957 0.7585 0.6206
0.8711 0.2423 0.1127
0.3711 0.2423 0.6127
0.3626 0.2251 0.1209
0.8625 0.2251 0.6209
0.6043 0.2415 0.3794
0.1041 0.2415 0.8794
0.5000 0.0000 0.0000
0.0000 0.0000 0.5000
0.0000 0.5000 0.0000
0.5000 0.5000 0.5000
0.2501 0.0000 0.2500
0.7499 0.0000 0.7500
0.5000 0.0000 0.5000
0.0000 0.0000 0.0000
0.9379 0.3755 0.3127
0.4376 0.3755 0.8127
0.5624 0.6245 0.1873
0.0621 0.6245 0.6873


(22)
MgTc2Sn, optimized geometry, DFT GGA-PBE; relative energy among the computed polymorphs = 500 meV/atom; SG = No. 122; V = 18.62 Å³ per atom; E_tot = -5.82 eV per atom; total magnetization = 0.3794 μB/atom
1.0
7.3924 0.0000 0.0000
0.0000 7.3924 0.0000
3.6962 3.6962 2.7264
Mg Sn Tc
2 2 4
direct
0.5000 0.5000 0.0000
0.2500 0.7500 0.5000
0.0000 0.0000 0.0000
0.7500 0.2500 0.5000
0.6342 0.1250 0.2500
0.1158 0.6250 0.2500
0.3750 0.3658 0.7500
0.8750 0.8842 0.7500


(23)
Fe2Cu3Ni3, optimized geometry, DFT GGA-PBE; SG = No. 155; V = 11.78 Å³ per atom; E_tot = -5.71 eV per atom; total magnetization = 0.9324 μB/atom
1.0
-3.8506 -1.2262 2.0930
2.2427 0.0238 3.9599
-1.1076 4.3589 0.6963
Fe Cu Ni
2 3 3
direct
0.2587 0.2587 0.7413
0.7413 0.7413 0.2587
0.2527 0.7473 0.0000
0.0000 0.2527 0.2527
0.7473 0.0000 0.7473
0.2389 0.7611 0.5000
0.5000 0.2389 0.2389
0.7611 0.5000 0.7611